(1)
First-principles (SCAN) data for a PBEsol-optimized structure of ZnSi2Ir, as listed in Alexandria via LeMat-Bulk.

abc: 3.560 3.903 3.903
angles: 90.00 90.00 90.00
Sites, in units of the cell vectors:
Si 0.000 0.000 0.500
Si 0.000 0.500 0.000
Zn 0.500 0.500 0.500
Ir 0.500 0.000 0.000

The calculation puts the total energy at -26.063 eV/atom. Its space group is P4/mmm (123).


(2)
First-principles (SCAN) data for a PBEsol-optimized structure of ZnSiIr, as listed in Alexandria via LeMat-Bulk.

abc: 4.051 4.051 4.051
angles: 60.00 60.00 60.00
Sites, in units of the cell vectors:
Zn 0.500 0.500 0.500
Si 0.000 0.000 0.000
Ir 0.250 0.250 0.250

The calculation puts the total energy at -31.913 eV/atom. Its space group is F-43m (216).


(3)
First-principles (SCAN) data for a PBEsol-optimized structure of ZnSi3Ir, as listed in Alexandria via LeMat-Bulk.

abc: 4.415 4.415 4.415
angles: 90.00 90.00 90.00
Sites, in units of the cell vectors:
Si 0.000 0.000 0.500
Si 0.500 0.000 0.000
Si 0.000 0.500 0.000
Zn 0.000 0.000 0.000
Ir 0.500 0.500 0.500

The calculation puts the total energy at -21.497 eV/atom. Its space group is Pm-3m (221).


(4)
First-principles (SCAN) data for a PBEsol-optimized structure of ZnSiIr, as listed in Alexandria via LeMat-Bulk.

abc: 3.185 3.185 4.550
angles: 110.49 110.49 90.00
Sites, in units of the cell vectors:
Ir 0.009 0.009 0.018
Zn 0.333 0.333 0.666
Si 0.658 0.658 0.316

The calculation puts the total energy at -31.871 eV/atom. Its space group is I4mm (107).


(5)
First-principles (SCAN) data for a PBEsol-optimized structure of ZrSi3Ir, as listed in Alexandria via LeMat-Bulk.

abc: 4.803 4.803 4.803
angles: 90.00 90.00 90.00
Sites, in units of the cell vectors:
Si 0.000 0.000 0.500
Si 0.500 0.000 0.000
Si 0.000 0.500 0.000
Zr 0.000 0.000 0.000
Ir 0.500 0.500 0.500

The calculation puts the total energy at -24.556 eV/atom. Its space group is Pm-3m (221).


(6)
First-principles (SCAN) data for a PBEsol-optimized structure of Zr2Si2Ir, as listed in Alexandria via LeMat-Bulk.

abc: 4.185 6.241 6.241
angles: 90.00 90.00 90.00
Sites, in units of the cell vectors:
Zr 0.500 0.169 0.669
Zr 0.500 0.331 0.169
Zr 0.500 0.831 0.331
Zr 0.500 0.669 0.831
Ir 0.000 0.000 0.000
Ir 0.000 0.500 0.500
Si 0.000 0.136 0.364
Si 0.000 0.636 0.136
Si 0.000 0.364 0.864
Si 0.000 0.864 0.636

The calculation puts the total energy at -31.647 eV/atom. Its space group is P4/mbm (127).


(7)
First-principles (SCAN) data for a PBEsol-optimized structure of ZrSiIr2, as listed in Alexandria via LeMat-Bulk.

abc: 3.806 3.806 4.976
angles: 112.48 112.48 90.00
Sites, in units of the cell vectors:
Ir 0.750 0.250 0.500
Ir 0.000 0.000 0.000
Si 0.500 0.500 0.000
Zr 0.250 0.750 0.500

The calculation puts the total energy at -46.418 eV/atom. Its space group is I-4m2 (119).


(8)
First-principles (SCAN) data for a PBEsol-optimized structure of ZrSiIr2, as listed in Alexandria via LeMat-Bulk.

abc: 3.289 3.289 5.718
angles: 90.00 90.00 90.00
Sites, in units of the cell vectors:
Ir 0.000 0.000 0.768
Ir 0.000 0.000 0.232
Si 0.500 0.500 0.000
Zr 0.500 0.500 0.500

The calculation puts the total energy at -46.410 eV/atom. Its space group is P4/mmm (123).


(9)
First-principles (SCAN) data for a PBEsol-optimized structure of ZrSiIr, as listed in Alexandria via LeMat-Bulk.

abc: 3.940 6.517 7.364
angles: 90.00 90.00 90.00
Sites, in units of the cell vectors:
Si 0.250 0.778 0.381
Si 0.750 0.722 0.881
Si 0.250 0.278 0.119
Si 0.750 0.222 0.619
Ir 0.750 0.349 0.935
Ir 0.250 0.651 0.065
Ir 0.250 0.151 0.435
Ir 0.750 0.849 0.565
Zr 0.750 0.982 0.182
Zr 0.250 0.518 0.682
Zr 0.250 0.018 0.818
Zr 0.750 0.482 0.318

The calculation puts the total energy at -38.553 eV/atom. Its space group is Pnma (62).


(10)
First-principles (SCAN) data for a PBEsol-optimized structure of ZrSi2Ir, as listed in Alexandria via LeMat-Bulk.

abc: 2.943 3.437 6.002
angles: 90.00 90.00 90.00
Sites, in units of the cell vectors:
Si 0.000 0.000 0.989
Si 0.500 0.500 0.220
Ir 0.500 0.500 0.810
Zr 0.000 0.000 0.480

The calculation puts the total energy at -31.076 eV/atom. Its space group is Pmm2 (25).


(11)
First-principles (SCAN) data for a PBEsol-optimized structure of Sm5Ir2, as listed in Alexandria via LeMat-Bulk.

abc: 6.504 7.161 8.676
angles: 96.42 112.01 90.00
Sites, in units of the cell vectors:
Sm 0.022 0.079 0.816
Sm 0.978 0.921 0.184
Sm 0.429 0.750 0.000
Sm 0.571 0.250 0.000
Sm 0.793 0.579 0.816
Sm 0.649 0.814 0.439
Sm 0.210 0.686 0.561
Sm 0.351 0.186 0.561
Sm 0.790 0.314 0.439
Sm 0.207 0.421 0.184
Ir 0.402 0.074 0.223
Ir 0.179 0.426 0.777
Ir 0.821 0.574 0.223
Ir 0.598 0.926 0.777

The calculation puts the total energy at -52.775 eV/atom. Its space group is C2/c (15).


(12)
First-principles (SCAN) data for a PBEsol-optimized structure of Sm5Ir3, as listed in Alexandria via LeMat-Bulk.

abc: 6.356 10.967 10.967
angles: 90.00 90.00 90.00
Sites, in units of the cell vectors:
Ir 0.750 0.154 0.154
Ir 0.250 0.154 0.846
Ir 0.250 0.846 0.154
Ir 0.750 0.846 0.846
Ir 0.250 0.654 0.654
Ir 0.750 0.654 0.346
Ir 0.750 0.346 0.654
Ir 0.120 0.500 0.000
Ir 0.250 0.346 0.346
Ir 0.620 0.500 0.000
Ir 0.880 0.000 0.500
Ir 0.380 0.000 0.500
Sm 0.378 0.411 0.791
Sm 0.500 0.000 0.000
Sm 0.878 0.589 0.791
Sm 0.378 0.709 0.911
Sm 0.122 0.209 0.589
Sm 0.878 0.709 0.089
Sm 0.378 0.589 0.209
Sm 0.622 0.089 0.709
Sm 0.878 0.291 0.911
Sm 0.000 0.500 0.500
Sm 0.878 0.411 0.209
Sm 0.000 0.000 0.000
Sm 0.622 0.209 0.411
Sm 0.378 0.291 0.089
Sm 0.622 0.791 0.589
Sm 0.122 0.089 0.291
Sm 0.622 0.911 0.291
Sm 0.500 0.500 0.500
Sm 0.122 0.911 0.709
Sm 0.122 0.791 0.411

The calculation puts the total energy at -55.302 eV/atom. Its space group is P4/ncc (130).